The following is a DFT calculation (GGA-PBE) of KTa3Mn after structural relaxation.

- Magnetization: 0.000 μB/cell
- DOS at the Fermi energy: 3.7 states/eV/cell
- Energy above the most stable polymorph in this dataset: 0.000 eV per formula unit
- Total DFT energy (no corrections): -7.936 eV/atom
- Formation enthalpy at 0 K: 1.229 eV per atom
- Crystal system: cubic
- Space group: Pm-3m (221)

a = 4.7701 Å, b = 4.7701 Å, c = 4.7701 Å
α = 90.00°, β = 90.00°, γ = 90.00°
Closest atoms and distances in Å follow each position.
Element x y z (fractional)
K  0.0000  0.0000  0.0000  12 Ta 3.37
Ta  0.0000  0.5000  0.5000  2 Mn 2.39
Ta  0.5000  0.0000  0.5000  2 Mn 2.39
Ta  0.5000  0.5000  0.0000  2 Mn 2.39
Mn  0.5000  0.5000  0.5000  6 Ta 2.39


The following is a DFT calculation (GGA-PBE) of KTa2Mn after structural relaxation.

- Magnetization: 0.000 μB/cell
- DOS at the Fermi energy: 14.7 states/eV/cell
- Energy above the most stable polymorph in this dataset: 4.449 eV per formula unit
- Total DFT energy (no corrections): -6.724 eV/atom
- Formation enthalpy at 0 K: 1.769 eV per atom
- Crystal system: tetragonal
- Space group: I4_1/amd (141)

a = 8.3374 Å, b = 8.3374 Å, c = 8.3374 Å
α = 139.95°, β = 139.95°, γ = 57.93°
Closest atoms and distances in Å follow each position.
Element x y z (fractional)
K  0.3750  0.6250  0.7500  8 Ta 3.68, 4 Mn 4.04
K  0.6250  0.3750  0.2500  8 Ta 3.68, 4 Mn 4.04
Ta  0.0000  0.0000  0.0000  2 Mn 2.32
Ta  0.0000  0.0000  0.5000  2 Mn 2.32
Ta  0.0000  0.5000  0.0000  2 Mn 2.32
Ta  0.5000  0.0000  0.5000  2 Mn 2.32
Mn  0.1250  0.8750  0.2500  4 Ta 2.32
Mn  0.8750  0.1250  0.7500  4 Ta 2.32


The highest total DFT energy (no corrections) belongs to which entry?
KTa2Mn


Look up the energy above the most stable polymorph in this dataset of the first one.
0.000 eV per formula unit


Number 2 is which compound?
KTa2Mn


What did the first record say?
The following is a DFT calculation (GGA-PBE) of KTa3Mn after structural relaxation.

- Magnetization: 0.000 μB/cell
- DOS at the Fermi energy: 3.7 states/eV/cell
- Energy above the most stable polymorph in this dataset: 0.000 eV per formula unit
- Total DFT energy (no corrections): -7.936 eV/atom
- Formation enthalpy at 0 K: 1.229 eV per atom
- Crystal system: cubic
- Space group: Pm-3m (221)

a = 4.7701 Å, b = 4.7701 Å, c = 4.7701 Å
α = 90.00°, β = 90.00°, γ = 90.00°
Closest atoms and distances in Å follow each position.
Element x y z (fractional)
K  0.0000  0.0000  0.0000  12 Ta 3.37
Ta  0.0000  0.5000  0.5000  2 Mn 2.39
Ta  0.5000  0.0000  0.5000  2 Mn 2.39
Ta  0.5000  0.5000  0.0000  2 Mn 2.39
Mn  0.5000  0.5000  0.5000  6 Ta 2.39